# 1
A plane-wave DFT calculation with PBE was carried out for a geometry-optimized LiAsPtO structure.

The structure in POSCAR format:
```
LiAsPtO
1.0
3.9053 0.0000 0.0000
0.0000 5.8121 0.0000
0.0000 0.0000 5.5113
Li As Pt O
2 2 2 2
Cartesian
0.0000 0.5761 0.0000
0.0000 5.2361 2.7557
1.9526 1.9171 4.3974
1.9526 3.8950 1.6417
1.9526 1.4923 1.9683
1.9526 4.3199 4.7240
0.0000 1.0201 1.7914
0.0000 4.7920 4.5470
```

polymorph energy (0 for the lowest one) = 133.1 meV/atom
V = 15.6 Å³ per atom
E = -4.920 eV/atom
symmetry = Pmc2_1

# 2
A plane-wave DFT calculation with PBE was carried out for a geometry-optimized HfCdCuB structure.

The structure in POSCAR format:
```
HfCdCuB
1.0
0.0000 3.1232 3.1232
3.1232 0.0000 3.1232
3.1232 3.1232 0.0000
Hf Cd Cu B
1 1 1 1
Cartesian
0.0000 0.0000 0.0000
4.6848 4.6848 4.6848
3.1232 3.1232 3.1232
1.5616 1.5616 1.5616
```

polymorph energy (0 for the lowest one) = 0.0 meV/atom
V = 15.2 Å³ per atom
E = -4.751 eV/atom
symmetry = F-43m

# 3
A plane-wave DFT calculation with PBE was carried out for a geometry-optimized PuAgHg structure.

The structure in POSCAR format:
```
PuAgHg
1.0
5.0565 0.0000 0.0000
-2.5283 4.3791 0.0000
0.0000 0.0000 3.0840
Pu Ag Hg
1 1 1
Cartesian
0.0000 0.0000 0.0000
2.5283 1.4597 1.5420
0.0000 2.9194 1.5420
```

polymorph energy (0 for the lowest one) = 0.0 meV/atom
energy of formation from the pure elements = -0.198 eV per atom
V = 22.8 Å³ per atom
E = -5.947 eV/atom
symmetry = P-6m2

# 4
A plane-wave DFT calculation with PBE was carried out for a geometry-optimized AcNbAg structure.

The structure in POSCAR format:
```
AcNbAg
1.0
0.0000 3.5719 3.5719
3.5719 0.0000 3.5719
3.5719 3.5719 0.0000
Ac Nb Ag
1 1 1
Cartesian
0.0000 0.0000 0.0000
3.5719 3.5719 3.5719
1.7859 1.7859 1.7859
```

polymorph energy (0 for the lowest one) = 0.0 meV/atom
energy of formation from the pure elements = 0.800 eV per atom
V = 30.4 Å³ per atom
E = -4.874 eV/atom
symmetry = F-43m

Which formula does entry 2 have? HfCdCuB

Look up the polymorph energy (0 for the lowest one) of the third one. 0.0 meV/atom

Among the records above, which one has the lowest V? HfCdCuB

Among the records above, which one has the lowest E? PuAgHg